1.
DFT (PBE-GGA) results for an optimized crystal structure of La2PmSnN4.

```
La2PmSnN4
1.0
3.695 0.000 0.000
-1.847 6.063 0.000
0.000 0.000 12.655
N Sn Pm La
8 2 2 4
direct
0.000 0.000 0.500 N
0.725 0.450 0.868 N
0.446 0.891 0.750 N
0.275 0.550 0.368 N
0.725 0.450 0.632 N
0.554 0.109 0.250 N
0.000 0.000 0.000 N
0.275 0.550 0.132 N
0.849 0.698 0.750 Sn
0.151 0.302 0.250 Sn
0.114 0.228 0.750 Pm
0.886 0.772 0.250 Pm
0.371 0.742 0.537 La
0.629 0.258 0.463 La
0.629 0.258 0.037 La
0.371 0.742 0.963 La
```

Calculated values
Theoretical density: 7.00 g cm⁻³
E_form (uncorrected): -759 meV/atom
Space group: Cmcm (63)

=====

2.
DFT (PBE-GGA) results for an optimized crystal structure of Nd5PuAs6.

```
Nd5PuAs6
1.0
7.231 -0.113 -1.364
-3.907 6.086 -1.364
0.142 0.255 7.355
Nd As Pu
5 6 1
direct
0.168 0.832 0.500 Nd
0.832 0.168 0.500 Nd
0.666 0.334 0.000 Nd
0.500 0.500 0.500 Nd
0.334 0.666 0.000 Nd
0.244 0.244 0.754 As
0.082 0.408 0.246 As
0.918 0.592 0.754 As
0.408 0.082 0.246 As
0.756 0.756 0.246 As
0.592 0.918 0.754 As
0.000 0.000 0.000 Pu
```

Calculated values
Theoretical density: 7.22 g cm⁻³
Space group: C2/m (12)

=====

3.
DFT (PBE-GGA) results for an optimized crystal structure of MgMoPd.

```
MgMoPd
1.0
-1.170 0.550 4.093
-2.513 -3.195 -0.289
2.939 -5.049 1.519
Pd Mo Mg
2 2 2
direct
0.712 0.187 0.019 Pd
0.712 0.521 0.352 Pd
0.212 0.668 0.056 Mo
0.212 0.039 0.315 Mo
0.712 0.854 0.686 Mg
0.212 0.354 0.686 Mg
```

Calculated values
Theoretical density: 7.57 g cm⁻³
Offset from the most stable computed form: 0.48 eV/f.u.
Space group: Cmmm (65)

=====

4.
DFT (PBE-GGA) results for an optimized crystal structure of Nb5Mo4Rh.

```
Nb5Mo4Rh
1.0
3.240 0.000 0.000
0.000 3.240 0.000
0.000 0.000 16.075
Mo Rh Nb
4 1 5
direct
0.000 0.000 0.197 Mo
0.000 0.000 0.600 Mo
0.000 0.000 0.803 Mo
0.000 0.000 0.400 Mo
0.000 0.000 0.000 Rh
0.500 0.500 0.500 Nb
0.500 0.500 0.702 Nb
0.500 0.500 0.298 Nb
0.500 0.500 0.101 Nb
0.500 0.500 0.899 Nb
```

Calculated values
Theoretical density: 9.36 g cm⁻³
Space group: P4/mmm (123)

=====

5.
DFT (PBE-GGA) results for an optimized crystal structure of CsKNa2Pt.

```
CsKNa2Pt
1.0
5.845 0.000 0.000
0.000 5.845 0.000
0.000 0.000 6.217
Na Cs Pt K
2 1 1 1
direct
0.500 0.000 0.000 Na
0.000 0.500 0.000 Na
0.500 0.500 0.500 Cs
0.000 0.000 0.000 Pt
0.000 0.000 0.500 K
```

Calculated values
Theoretical density: 3.23 g cm⁻³
Offset from the most stable computed form: 0.00 eV/f.u.
Space group: P4/mmm (123)

=====

6.
DFT (PBE-GGA) results for an optimized crystal structure of CsInP2Cl.

```
CsInP2Cl
1.0
5.107 0.000 0.000
0.000 5.107 0.000
0.000 0.000 6.211
In Cs Cl P
1 1 1 2
direct
0.000 0.000 0.000 In
0.500 0.500 0.500 Cs
0.000 0.000 0.500 Cl
0.500 0.000 0.000 P
0.000 0.500 0.000 P
```

Calculated values
Theoretical density: 3.54 g cm⁻³
E_form (uncorrected): 0 meV/atom
Offset from the most stable computed form: 0.00 eV/f.u.
Space group: P4/mmm (123)

=====

7.
DFT (PBE-GGA) results for an optimized crystal structure of Nd15Tm2Tl2.

```
Nd15Tm2Tl2
1.0
8.441 -0.457 2.445
1.711 8.278 2.445
-0.593 -0.457 8.768
Tm Nd Tl
2 15 2
direct
0.696 0.696 0.696 Tm
0.304 0.304 0.304 Tm
0.291 0.000 0.709 Nd
0.000 0.291 0.709 Nd
0.291 0.709 0.000 Nd
0.392 0.392 0.834 Nd
0.000 0.500 0.000 Nd
0.392 0.834 0.392 Nd
0.834 0.392 0.392 Nd
0.000 0.000 0.500 Nd
0.709 0.000 0.291 Nd
0.709 0.291 0.000 Nd
0.000 0.709 0.291 Nd
0.608 0.166 0.608 Nd
0.608 0.608 0.166 Nd
0.166 0.608 0.608 Nd
0.500 0.000 0.000 Nd
0.101 0.101 0.101 Tl
0.899 0.899 0.899 Tl
```

Calculated values
Theoretical density: 7.56 g cm⁻³
Space group: R-3m (166)

=====

8.
DFT (PBE-GGA) results for an optimized crystal structure of SrTbSm.

```
SrTbSm
1.0
-0.916 -3.472 1.101
2.707 0.111 2.602
-6.165 4.768 3.499
Sr Tb Sm
1 1 1
direct
0.999 0.999 0.999 Sr
0.320 0.320 0.641 Tb
0.680 0.680 0.360 Sm
```

Calculated values
Theoretical density: 5.75 g cm⁻³
Offset from the most stable computed form: 0.00 eV/f.u.
Space group: I4mm (107)

=====

9.
DFT (PBE-GGA) results for an optimized crystal structure of GdZnRhPb.

```
GdZnRhPb
1.0
-2.042 -4.426 -0.437
2.703 -3.808 -1.465
1.148 -3.549 3.169
Gd Rh Pb Zn
1 1 1 1
direct
0.750 0.750 0.750 Gd
0.500 0.500 0.500 Rh
0.250 0.250 0.250 Pb
0.000 0.000 0.000 Zn
```

Calculated values
Theoretical density: 10.67 g cm⁻³
Space group: F-43m (216)

=====

10.
DFT (PBE-GGA) results for an optimized crystal structure of LiNb2PbN.

```
LiNb2PbN
1.0
4.167 0.000 0.000
0.000 5.378 0.000
0.000 0.000 4.167
Nb Li N Pb
2 1 1 1
direct
0.500 0.000 0.000 Nb
0.000 0.000 0.500 Nb
0.500 0.500 0.500 Li
0.000 0.000 0.000 N
0.000 0.500 0.000 Pb
```

Calculated values
Theoretical density: 7.36 g cm⁻³
E_form (uncorrected): 9 meV/atom
Space group: P4/mmm (123)

=====

11.
DFT (PBE-GGA) results for an optimized crystal structure of CsZnBi.

```
CsZnBi
1.0
-2.210 5.478 -1.737
-3.719 -0.557 2.973
4.015 2.112 1.552
Bi Cs Zn
1 1 1
direct
0.166 0.000 0.000 Bi
0.667 0.667 0.333 Cs
0.167 0.333 0.667 Zn
```

Calculated values
Theoretical density: 5.52 g cm⁻³
Space group: P-6m2 (187)

=====

12.
DFT (PBE-GGA) results for an optimized crystal structure of BaHgO3.

```
BaHgO3
1.0
4.258 0.000 0.000
0.000 4.258 0.000
0.000 0.000 4.258
O Ba Hg
3 1 1
direct
0.500 0.000 0.000 O
0.000 0.500 0.000 O
0.000 0.000 0.500 O
0.500 0.500 0.500 Ba
0.000 0.000 0.000 Hg
```

Calculated values
Theoretical density: 8.30 g cm⁻³
E_form (uncorrected): -991 meV/atom
Space group: Pm-3m (221)

=====

13.
DFT (PBE-GGA) results for an optimized crystal structure of Y6CN2.

```
Y6CN2
1.0
-0.626 -3.487 0.257
3.522 0.739 -5.945
5.822 -0.571 6.423
Y N C
6 2 1
direct
0.964 0.928 0.204 Y
0.036 0.072 0.796 Y
0.703 0.406 0.126 Y
0.297 0.594 0.874 Y
0.632 0.265 0.541 Y
0.368 0.735 0.459 Y
0.332 0.664 0.163 N
0.668 0.336 0.837 N
0.000 0.000 0.500 C
```

Calculated values
Theoretical density: 4.83 g cm⁻³
E_form (uncorrected): -798 meV/atom
Space group: C2/m (12)

=====

14.
DFT (PBE-GGA) results for an optimized crystal structure of BaY2Cl.

```
BaY2Cl
1.0
-2.085 -4.110 4.445
-1.637 -6.038 1.365
5.427 -3.414 2.926
Y Cl Ba
2 1 1
direct
0.037 0.037 0.993 Y
0.282 0.282 0.145 Y
0.730 0.730 0.837 Cl
0.451 0.451 0.526 Ba
```

Calculated values
Theoretical density: 3.95 g cm⁻³
E_form (uncorrected): -399 meV/atom
Offset from the most stable computed form: 0.80 eV/f.u.
Space group: Cm (8)

=====

15.
DFT (PBE-GGA) results for an optimized crystal structure of NiHPdAu2.

```
NiHPdAu2
1.0
-4.163 -1.438 -1.212
1.826 -3.795 -1.770
-0.312 -1.456 2.800
Ni Pd Au H
1 1 2 1
direct
0.000 0.000 0.500 Ni
0.500 0.500 0.500 Pd
0.500 0.000 0.000 Au
0.000 0.500 0.000 Au
0.000 0.000 0.000 H
```

Calculated values
Theoretical density: 14.05 g cm⁻³
Space group: P4/mmm (123)

=====

16.
DFT (PBE-GGA) results for an optimized crystal structure of Cd2CoBr.

```
Cd2CoBr
1.0
-5.149 -2.546 1.092
-0.749 -3.249 4.803
2.094 5.252 -1.488
Cd Co Br
2 1 1
direct
0.250 0.750 0.500 Cd
0.000 0.000 0.000 Cd
0.500 0.500 0.000 Co
0.750 0.250 0.500 Br
```

Calculated values
Theoretical density: 7.08 g cm⁻³
E_form (uncorrected): 500 meV/atom
Offset from the most stable computed form: 1.56 eV/f.u.
Space group: I-4m2 (119)

=====

17.
DFT (PBE-GGA) results for an optimized crystal structure of PmSm2Er.

```
PmSm2Er
1.0
-1.210 4.046 -2.859
-3.211 1.594 3.614
3.761 2.658 2.169
Er Sm Pm
1 2 1
direct
0.500 0.000 0.000 Er
0.000 0.500 0.000 Sm
0.000 0.000 0.500 Sm
0.500 0.500 0.500 Pm
```

Calculated values
Theoretical density: 7.70 g cm⁻³
Offset from the most stable computed form: 0.01 eV/f.u.
Space group: P4/mmm (123)

=====

18.
DFT (PBE-GGA) results for an optimized crystal structure of TaBe4P.

```
TaBe4P
1.0
-1.376 -0.077 4.260
0.183 3.724 2.480
-3.778 2.098 1.171
Be Ta P
4 1 1
direct
0.372 0.884 0.372 Be
0.884 0.372 0.372 Be
0.372 0.372 0.372 Be
0.372 0.372 0.884 Be
0.000 0.000 0.000 Ta
0.750 0.750 0.750 P
```

Calculated values
Theoretical density: 6.49 g cm⁻³
Space group: F-43m (216)

=====

19.
DFT (PBE-GGA) results for an optimized crystal structure of DyFeB4.

```
DyFeB4
1.0
3.132 0.000 0.000
1.566 4.507 0.005
1.566 1.323 4.309
Dy B Fe
1 4 1
direct
0.000 0.000 0.000 Dy
0.250 0.418 0.082 B
0.750 0.582 0.918 B
0.750 0.918 0.582 B
0.250 0.082 0.418 B
0.500 0.500 0.500 Fe
```

Calculated values
Theoretical density: 7.15 g cm⁻³
Offset from the most stable computed form: 2.41 eV/f.u.
Space group: Immm (71)

=====

20.
DFT (PBE-GGA) results for an optimized crystal structure of Fe2HCl2.

```
Fe2HCl2
1.0
7.082 0.000 0.000
0.000 7.082 0.000
0.000 0.000 3.075
Fe H Cl
4 2 4
direct
0.121 0.621 0.500 Fe
0.379 0.121 0.500 Fe
0.621 0.879 0.500 Fe
0.879 0.379 0.500 Fe
0.500 0.500 0.000 H
0.000 0.000 0.000 H
0.334 0.834 0.000 Cl
0.166 0.334 0.000 Cl
0.666 0.166 0.000 Cl
0.834 0.666 0.000 Cl
```

Calculated values
Theoretical density: 3.95 g cm⁻³
Offset from the most stable computed form: 1.71 eV/f.u.
Space group: P4/mbm (127)

=====

Values of E, in order: -0.5327, -0.5090, -0.4353, -0.7559, -0.1527, -0.2390, -0.3168, -0.2620, -0.5108, -0.5004, -0.1686, -0.3242, -0.5867, -0.3362, -0.2994, -0.1582, -0.3433, -0.3826, -0.5028, -0.3057, all in Ry per atom.